# BiIr

A relaxed BiIr crystal (PBE, Alexandria via LeMat-Bulk).

POSCAR file:
```
BiIr
1.0
7.536 0.000 0.000
0.000 7.536 0.000
0.000 0.000 7.536
Bi Ir
6 6
Direct
0.250 0.000 0.500
0.750 0.000 0.500
0.000 0.500 0.250
0.000 0.500 0.750
0.500 0.250 0.000
0.500 0.750 0.000
0.250 0.500 0.000
0.750 0.500 0.000
0.500 0.000 0.250
0.500 0.000 0.750
0.000 0.250 0.500
0.000 0.750 0.500
```

Values from the calculation:
Energy relative to the elements   0.7888 eV per atom
M_tot   0.00 μB/cell
Raw total energy   -0.4103 Ry/atom